Density functional theory data (meta-GGA SCAN) for a PBEsol-optimized structure of LiCo2Tc.

Cell lengths 2.615, 4.185, 4.185 Å; angles 90.00, 90.00, 90.00 degrees
Sites, in units of the cell vectors:
Co: 0.000 0.500 0.000
Li: 0.500 0.500 0.500
Co: 0.000 0.000 0.500
Tc: 0.500 0.000 0.000

Values from the calculation:
ΔE to the lowest computed polymorph, meV/atom: 0
Spin magnetization, Bohr magnetons per cell: 2.5
ΔE_f, eV/atom: 0.21
Electronic total energy, eV per atom: -17.81